No. 1
The following is a DFT calculation (PBE) of crystalline MgGa3Co2 at its relaxed geometry.

Results
For the energy relative to the elements, the calculation gives -157 meV per atom. Its spin magnetization is 0.00 μB per cell. The value obtained for the final energy is -25.8 eV per cell.

abc: 5.1875 5.1875 3.8630
angles: 90.00 90.00 120.00
Space group P-62m (No. 189)
One atom of each set of equivalent atoms:
Mg: 0.0000 0.0000 0.0000
Ga: 0.0000 0.4654 0.5000
Co: 0.3333 0.6667 0.0000

No. 2
The following is a DFT calculation (PBE) of crystalline MgGa3Co4 at its relaxed geometry.

Results
For the energy relative to the elements, the calculation gives -232 meV per atom. Its spin magnetization is 0.00 μB per cell. The value obtained for the final energy is -122.9 eV per cell.

abc: 4.1068 4.1068 20.1028
angles: 90.00 90.00 120.00
Space group R-3m (No. 166, hexagonal axes)
One atom of each set of equivalent atoms:
Mg: 0.0000 0.0000 0.0000
Ga: 0.0000 0.0000 0.2532
Ga: 0.0000 0.0000 0.5000
Co: 0.0000 0.0000 0.1285
Co: 0.0000 0.0000 0.3789

No. 3
The following is a DFT calculation (PBE) of crystalline MgGa2Co2 at its relaxed geometry.

Results
For the energy relative to the elements, the calculation gives -219 meV per atom. Its spin magnetization is 0.00 μB per cell. The value obtained for the final energy is -45.9 eV per cell.

abc: 6.993 6.993 2.776
angles: 90.00 90.00 90.00
Space group P4/mbm (No. 127)
One atom of each set of equivalent atoms:
Mg: 0.000 0.000 0.000
Ga: 0.136 0.364 0.000
Co: 0.161 0.661 0.500

No. 4
The following is a DFT calculation (PBE) of crystalline MgGa2Co at its relaxed geometry.

Results
For the energy relative to the elements, the calculation gives -168 meV per atom. Its spin magnetization is 0.00 μB per cell. The value obtained for the final energy is -46.3 eV per cell.

abc: 4.0761 4.0761 13.9731
angles: 90.00 90.00 120.00
Space group R3m (No. 160, hexagonal axes)
One atom of each set of equivalent atoms:
Mg: 0.0000 0.0000 0.0000
Ga: 0.0000 0.0000 0.5541
Ga: 0.0000 0.0000 0.7922
Co: 0.0000 0.0000 0.1880

No. 5
The following is a DFT calculation (PBE) of crystalline MgGa5Co at its relaxed geometry.

Results
For the energy relative to the elements, the calculation gives -152 meV per atom. Its spin magnetization is 0.00 μB per cell. The value obtained for the final energy is -24.9 eV per cell.

abc: 4.161 4.161 6.762
angles: 90.00 90.00 90.00
Space group P4/mmm (No. 123)
One atom of each set of equivalent atoms:
Mg: 0.000 0.000 0.000
Ga: 0.000 0.500 0.304
Ga: 0.500 0.500 0.000
Co: 0.000 0.000 0.500

No. 6
The following is a DFT calculation (PBE) of crystalline MgGa3Co2 at its relaxed geometry.

Results
For the energy relative to the elements, the calculation gives -45 meV per atom. Its spin magnetization is 2.77 μB per cell. The value obtained for the final energy is -50.3 eV per cell.

abc: 5.6619 5.6619 6.3476
angles: 90.00 90.00 120.00
Space group P-3m1 (No. 164)
One atom of each set of equivalent atoms:
Mg: 0.3333 0.6667 0.1719
Ga: 0.1658 0.3316 0.7904
Co: 0.0000 0.0000 0.5000
Co: 0.0000 0.5000 0.5000

No. 7
The following is a DFT calculation (PBE) of crystalline MgGa5Co6 at its relaxed geometry.

Results
For the energy relative to the elements, the calculation gives -260 meV per atom. Its spin magnetization is 0.00 μB per cell. The value obtained for the final energy is -125.0 eV per cell.

abc: 4.096 5.787 12.285
angles: 90.00 90.00 90.00
Space group Immm (No. 71)
One atom of each set of equivalent atoms:
Mg: 0.000 0.000 0.000
Ga: 0.000 0.000 0.331
Ga: 0.000 0.500 0.000
Ga: 0.000 0.500 0.340
Co: 0.000 0.236 0.500
Co: 0.000 0.257 0.171

No. 8
The following is a DFT calculation (PBE) of crystalline Mg2Ga4Co5 at its relaxed geometry.

Results
For the energy relative to the elements, the calculation gives -41 meV per atom. Its spin magnetization is 14.31 μB per cell. The value obtained for the final energy is -205.1 eV per cell.

abc: 5.131 8.667 15.022
angles: 90.00 90.00 90.00
Space group Fmmm (No. 69)
One atom of each set of equivalent atoms:
Mg: 0.000 0.000 0.104
Ga: 0.000 0.162 0.370
Co: 0.000 0.000 0.500
Co: 0.250 0.250 0.000
Co: 0.250 0.250 0.250

No. 9
The following is a DFT calculation (PBE) of crystalline MgGa5Co3 at its relaxed geometry.

Results
For the energy relative to the elements, the calculation gives -129 meV per atom. Its spin magnetization is 0.00 μB per cell. The value obtained for the final energy is -156.8 eV per cell.

abc: 8.751 8.682 8.203
angles: 90.00 107.84 90.00
Space group C2/m (No. 12)
One atom of each set of equivalent atoms:
Mg: 0.242 0.000 0.247
Ga: 0.000 0.265 0.000
Ga: 0.002 0.267 0.332
Ga: 0.236 0.000 0.910
Ga: 0.249 0.000 0.579
Co: 0.000 0.000 0.000
Co: 0.000 0.500 0.500
Co: 0.006 0.000 0.650
Co: 0.012 0.500 0.166

No. 10
The following is a DFT calculation (PBE) of crystalline Mg2Ga2Co at its relaxed geometry.

Results
For the energy relative to the elements, the calculation gives -39 meV per atom. Its spin magnetization is 0.82 μB per cell. The value obtained for the final energy is -33.1 eV per cell.

abc: 6.351 6.351 4.265
angles: 90.00 90.00 90.00
Space group P4/mbm (No. 127)
One atom of each set of equivalent atoms:
Mg: 0.173 0.327 0.000
Ga: 0.145 0.645 0.500
Co: 0.000 0.000 0.500

No. 11
The following is a DFT calculation (PBE) of crystalline MgGa2Co at its relaxed geometry.

Results
For the energy relative to the elements, the calculation gives -253 meV per atom. Its spin magnetization is 0.00 μB per cell. The value obtained for the final energy is -126.1 eV per cell.

abc: 13.946 7.051 5.089
angles: 90.00 90.00 90.00
Space group Pnma (No. 62)
One atom of each set of equivalent atoms:
Mg: 0.106 0.250 0.243
Mg: 0.136 0.750 0.030
Ga: 0.039 0.054 0.748
Ga: 0.213 0.550 0.534
Co: 0.069 0.750 0.521
Co: 0.189 0.250 0.761

No. 12
The following is a DFT calculation (PBE) of crystalline Mg2Ga2Co at its relaxed geometry.

Results
For the energy relative to the elements, the calculation gives 41 meV per atom. Its spin magnetization is 0.00 μB per cell. The value obtained for the final energy is -48.4 eV per cell.

abc: 4.0368 4.0368 22.2831
angles: 90.00 90.00 120.00
Space group R-3m (No. 166, hexagonal axes)
One atom of each set of equivalent atoms:
Mg: 0.0000 0.0000 0.0656
Ga: 0.0000 0.0000 0.1976
Co: 0.0000 0.0000 0.5000

No. 13
The following is a DFT calculation (PBE) of crystalline MgGa9Co2 at its relaxed geometry.

Results
For the energy relative to the elements, the calculation gives -73 meV per atom. Its spin magnetization is 0.00 μB per cell. The value obtained for the final energy is -175.7 eV per cell.

abc: 11.004 11.004 6.459
angles: 90.00 90.00 90.00
Space group I4_1/amd (No. 141, origin choice 2)
One atom of each set of equivalent atoms:
Mg: 0.000 0.250 0.375
Ga: 0.000 0.250 0.875
Ga: 0.120 0.064 0.674
Co: 0.000 0.000 0.000

No. 14
The following is a DFT calculation (PBE) of crystalline Mg3GaCo at its relaxed geometry.

Results
For the energy relative to the elements, the calculation gives 316 meV per atom. Its spin magnetization is 0.00 μB per cell. The value obtained for the final energy is -13.3 eV per cell.

abc: 4.802 4.802 4.802
angles: 90.00 90.00 90.00
Space group Pm-3m (No. 221)
One atom of each set of equivalent atoms:
Mg: 0.000 0.000 0.500
Ga: 0.500 0.500 0.500
Co: 0.000 0.000 0.000

No. 15
The following is a DFT calculation (PBE) of crystalline MgGa2Co at its relaxed geometry.

Results
For the energy relative to the elements, the calculation gives -89 meV per atom. Its spin magnetization is 0.00 μB per cell. The value obtained for the final energy is -45.3 eV per cell.

abc: 4.0750 4.0750 13.4868
angles: 90.00 90.00 120.00
Space group R-3m (No. 166, hexagonal axes)
One atom of each set of equivalent atoms:
Mg: 0.0000 0.0000 0.0000
Ga: 0.0000 0.0000 0.2178
Co: 0.0000 0.0000 0.5000

No. 16
The following is a DFT calculation (PBE) of crystalline MgGaCo4 at its relaxed geometry.

Results
For the energy relative to the elements, the calculation gives -1 meV per atom. Its spin magnetization is 20.37 μB per cell. The value obtained for the final energy is -132.2 eV per cell.

abc: 6.741 6.741 6.741
angles: 90.00 90.00 90.00
Space group F-43m (No. 216)
One atom of each set of equivalent atoms:
Mg: 0.000 0.000 0.000
Ga: 0.250 0.250 0.250
Co: 0.125 0.125 0.625

No. 17
The following is a DFT calculation (PBE) of crystalline Mg14GaCo at its relaxed geometry.

Results
For the energy relative to the elements, the calculation gives 32 meV per atom. Its spin magnetization is 1.11 μB per cell. The value obtained for the final energy is -63.9 eV per cell.

abc: 10.078 6.239 10.691
angles: 90.00 90.00 90.00
Space group Amm2 (No. 38)
One atom of each set of equivalent atoms:
Mg: 0.000 0.000 0.000
Mg: 0.000 0.000 0.499
Mg: 0.000 0.249 0.246
Mg: 0.247 0.000 0.830
Mg: 0.257 0.000 0.333
Mg: 0.276 0.242 0.575
Mg: 0.500 0.249 0.264
Ga: 0.500 0.000 0.999
Co: 0.500 0.000 0.491

No. 18
The following is a DFT calculation (PBE) of crystalline Mg4Ga5Co2 at its relaxed geometry.

Results
For the energy relative to the elements, the calculation gives -73 meV per atom. Its spin magnetization is 1.96 μB per cell. The value obtained for the final energy is -36.5 eV per cell.

abc: 6.783 3.113 8.906
angles: 90.00 93.42 90.00
Space group P2/m (No. 10)
One atom of each set of equivalent atoms:
Mg: 0.165 0.000 0.375
Mg: 0.255 0.000 0.947
Ga: 0.186 0.500 0.672
Ga: 0.422 0.500 0.193
Ga: 0.500 0.500 0.500
Co: 0.056 0.500 0.130

No. 19
The following is a DFT calculation (PBE) of crystalline MgGa2Co2 at its relaxed geometry.

Results
For the energy relative to the elements, the calculation gives -96 meV per atom. Its spin magnetization is 0.01 μB per cell. The value obtained for the final energy is -22.3 eV per cell.

abc: 4.1933 4.1933 4.8060
angles: 90.00 90.00 120.00
Space group P-3m1 (No. 164)
One atom of each set of equivalent atoms:
Mg: 0.0000 0.0000 0.0000
Ga: 0.3333 0.6667 0.6598
Co: 0.3333 0.6667 0.1591

No. 20
The following is a DFT calculation (PBE) of crystalline Mg2Ga3Co at its relaxed geometry.

Results
For the energy relative to the elements, the calculation gives -52 meV per atom. Its spin magnetization is 0.00 μB per cell. The value obtained for the final energy is -39.4 eV per cell.

abc: 4.350 4.551 11.796
angles: 90.00 90.00 90.00
Space group Immm (No. 71)
One atom of each set of equivalent atoms:
Mg: 0.000 0.000 0.236
Ga: 0.000 0.500 0.000
Ga: 0.000 0.500 0.397
Co: 0.000 0.000 0.000

No. 21
The following is a DFT calculation (PBE) of crystalline MgGaCo2 at its relaxed geometry.

Results
For the energy relative to the elements, the calculation gives -103 meV per atom. Its spin magnetization is 0.00 μB per cell. The value obtained for the final energy is -19.2 eV per cell.

abc: 2.942 2.942 5.916
angles: 90.00 90.00 90.00
Space group P4/mmm (No. 123)
One atom of each set of equivalent atoms:
Mg: 0.000 0.000 0.000
Ga: 0.000 0.000 0.500
Co: 0.500 0.500 0.274

No. 22
The following is a DFT calculation (PBE) of crystalline Mg2GaCo3 at its relaxed geometry.

Results
For the energy relative to the elements, the calculation gives -138 meV per atom. Its spin magnetization is 7.53 μB per cell. The value obtained for the final energy is -56.7 eV per cell.

abc: 8.512 4.930 4.907
angles: 90.00 125.08 90.00
Space group C2/m (No. 12)
One atom of each set of equivalent atoms:
Mg: 0.121 0.000 0.362
Ga: 0.000 0.500 0.500
Co: 0.000 0.500 0.000
Co: 0.250 0.250 0.000

Summary of Fermi-level density of states in states/eV per cell
4.92, 9.81, 5.31, 3.18, 2.22, 9.42, 8.32, 43.68, 17.65, 7.17, 13.27, 7.18, 21.54, 2.25, 3.24, 32.88, 11.77, 6.22, 4.91, 8.05, 5.87, 9.81
(order as listed above)